Entry 1:
Compound: AcGdNp
Source: OQMD via LeMat-Bulk
Functional: GGA-PBE
Structure: relaxed

abc: 5.4038 5.4038 5.4038
angles: 60.00 60.00 60.00
Fractional positions:
Ac  0.0000  0.0000  0.0000
Gd  0.7500  0.7500  0.7500
Np  0.2500  0.2500  0.2500

Summary:
density = 9.25 g cm⁻³
ΔE_f = 1.264 eV per atom
crystal system = cubic

Entry 2:
Compound: SmErNb2Ge2
Source: OQMD via LeMat-Bulk
Functional: GGA-PBE
Structure: relaxed

abc: 4.0430 4.0430 7.9364
angles: 90.00 90.00 90.00
Fractional positions:
Sm  0.0000  0.0000  0.0000
Er  0.5000  0.5000  0.7039
Nb  0.0000  0.5000  0.3582
Nb  0.5000  0.0000  0.3582
Ge  0.0000  0.0000  0.6014
Ge  0.5000  0.5000  0.1160

Summary:
density = 8.30 g cm⁻³
crystal system = tetragonal
E_tot = -7.08 eV/atom